This record from the Alexandria database describes CsLi2W2O7 after structural relaxation. The functional is PBE with a Hubbard U.

## Properties
symmetry: R32 (155)
magnetization: 0.0833 μB per atom
crystal system: trigonal
calculated total energy: -76.599 eV per cell

Unit cell a=6.0624 b=6.0624 c=9.5031 alpha=71.40 beta=71.40 gamma=60.00
With the nearest neighbours (Å) after each atom.
Sites, in units of the cell vectors:
Cs1 0.5000 0.5000 0.5000  6 O 3.22
Li1 0.7611 0.7611 0.7167  3 O 1.88
Li2 0.2389 0.2389 0.2833  3 O 1.88
W1 0.9276 0.9276 0.2171  4 O 1.82-1.92
W2 0.0724 0.0724 0.7829  4 O 1.82-1.92
O1 0.1314 0.9938 0.2873  1 W 1.82, 1 Li 1.88
O2 0.5875 0.1314 0.2873  1 W 1.82, 1 Li 1.88
O3 0.9938 0.5875 0.2873  1 W 1.82, 1 Li 1.88
O4 0.4125 0.0062 0.7127  1 W 1.82, 1 Li 1.88
O5 0.8686 0.4125 0.7127  1 W 1.82, 1 Li 1.88
O6 0.0000 0.0000 0.0000  2 W 1.92
O7 0.0062 0.8686 0.7127  1 W 1.82, 1 Li 1.88